# PmAg4Au3O12

An optimized crystal structure of PmAg4Au3O12 (PBE-GGA, Alexandria via LeMat-Bulk).

Lattice parameters (Å, degrees): 6.9160 6.9160 6.9160 109.47 109.47 109.47
Atoms (fractional coordinates):
Pm 0.0000 0.0000 0.0000
Ag 0.0000 0.0000 0.5000
Ag 0.0000 0.5000 0.0000
Ag 0.5000 0.0000 0.0000
Ag 0.5000 0.5000 0.5000
Au 0.0000 0.5000 0.5000
Au 0.5000 0.0000 0.5000
Au 0.5000 0.5000 0.0000
O 0.1399 0.8393 0.3006
O 0.1607 0.3006 0.4613
O 0.1607 0.6994 0.8601
O 0.3006 0.1399 0.8393
O 0.3006 0.4613 0.1607
O 0.4613 0.1607 0.3006
O 0.5387 0.8393 0.6994
O 0.6994 0.5387 0.8393
O 0.6994 0.8601 0.1607
O 0.8393 0.3006 0.1399
O 0.8393 0.6994 0.5387
O 0.8601 0.1607 0.6994

Formation energy from raw total energies: -0.414 eV/atom
Magnetic moment: 0.00 μB/f.u.

---

# Ba5GaBi6

An optimized crystal structure of Ba5GaBi6 (PBE-GGA, Alexandria via LeMat-Bulk).

Lattice parameters (Å, degrees): 10.0329 10.0329 6.7768 101.57 101.57 124.43
Atoms (fractional coordinates):
Ba 0.0000 0.0000 0.0000
Ba 0.1832 0.8168 0.5000
Ba 0.3830 0.6170 0.0000
Ba 0.6170 0.3830 0.0000
Ba 0.8168 0.1832 0.5000
Ga 0.5000 0.5000 0.5000
Bi 0.0049 0.3897 0.1262
Bi 0.2064 0.2064 0.5801
Bi 0.3897 0.0049 0.1262
Bi 0.6103 0.9951 0.8738
Bi 0.7936 0.7936 0.4199
Bi 0.9951 0.6103 0.8738

Magnetic moment: 0.00 μB/f.u.
Energy of formation from the pure elements: -7.6 eV/f.u.

---

# ErTh2Co2

An optimized crystal structure of ErTh2Co2 (PBE-GGA, Alexandria via LeMat-Bulk).

Lattice parameters (Å, degrees): 6.1035 6.1035 6.1035 145.69 114.45 76.12
Atoms (fractional coordinates):
Er 0.0000 0.0000 0.0000
Th 0.3157 0.8157 0.5000
Th 0.6843 0.1843 0.5000
Co 0.3088 0.5000 0.8088
Co 0.6912 0.5000 0.1912

Energy above the lowest structure with this stoichiometry: 49 meV per atom
Magnetic moment: 0.00 μB/f.u.
Energy of formation from the pure elements: -1.0 eV/f.u.

---

# CsGeTe3

An optimized crystal structure of CsGeTe3 (PBE-GGA, Alexandria via LeMat-Bulk).

Lattice parameters (Å, degrees): 8.0972 13.5746 7.6223 90.00 102.10 90.00
Atoms (fractional coordinates):
Cs 0.2372 0.0784 0.2098
Cs 0.2372 0.4216 0.7098
Cs 0.7628 0.5784 0.2902
Cs 0.7628 0.9216 0.7902
Ge 0.3139 0.7285 0.3556
Ge 0.3139 0.7715 0.8556
Ge 0.6861 0.2285 0.1444
Ge 0.6861 0.2715 0.6444
Te 0.0254 0.6576 0.8975
Te 0.0254 0.8424 0.3975
Te 0.2367 0.5513 0.1776
Te 0.2367 0.9487 0.6776
Te 0.4834 0.1664 0.8311
Te 0.4834 0.3336 0.3311
Te 0.5166 0.6664 0.6689
Te 0.5166 0.8336 0.1689
Te 0.7633 0.0513 0.3224
Te 0.7633 0.4487 0.8224
Te 0.9746 0.1576 0.6025
Te 0.9746 0.3424 0.1025

Formation energy from raw total energies: -0.396 eV/atom
Magnetic moment: 0.00 μB/f.u.

---

# PmTcBrO4

An optimized crystal structure of PmTcBrO4 (PBE-GGA, Alexandria via LeMat-Bulk).

Lattice parameters (Å, degrees): 6.5057 6.5057 7.0421 101.71 101.71 68.48
Atoms (fractional coordinates):
Pm 0.2270 0.2270 0.1097
Pm 0.7730 0.7730 0.8903
Tc 0.3675 0.3675 0.7225
Tc 0.6325 0.6325 0.2775
Br 0.0134 0.0134 0.7541
Br 0.9866 0.9866 0.2459
O 0.1256 0.4850 0.8567
O 0.2895 0.2895 0.4733
O 0.4648 0.4648 0.2142
O 0.4850 0.1256 0.8567
O 0.5150 0.8744 0.1433
O 0.5352 0.5352 0.7858
O 0.7105 0.7105 0.5267
O 0.8744 0.5150 0.1433

Formation energy from raw total energies: -1.981 eV/atom
Magnetic moment: 1.01 μB/f.u.

---

# NaSr3Ir

An optimized crystal structure of NaSr3Ir (PBE-GGA, Alexandria via LeMat-Bulk).

Lattice parameters (Å, degrees): 4.8474 4.8474 10.1411 90.00 90.00 90.00
Atoms (fractional coordinates):
Na 0.0000 0.0000 0.0000
Sr 0.0000 0.0000 0.6166
Sr 0.0000 0.5000 0.3226
Sr 0.5000 0.0000 0.3226
Ir 0.5000 0.5000 0.4967

Energy above the lowest structure with this stoichiometry: 362 meV per atom
Magnetic moment: 0.00 μB/f.u.
Energy of formation from the pure elements: 1.2 eV/f.u.

---

# Cs2ZnHg3

An optimized crystal structure of Cs2ZnHg3 (PBE-GGA, Alexandria via LeMat-Bulk).

Lattice parameters (Å, degrees): 10.5288 10.5001 7.3812 69.66 69.24 41.10
Atoms (fractional coordinates):
Cs 0.2388 0.7612 0.2388
Cs 0.2500 0.2500 0.2500
Cs 0.7500 0.7500 0.7500
Cs 0.7612 0.2388 0.7612
Zn 0.3325 0.3325 0.6675
Zn 0.6675 0.6675 0.3325
Hg 0.1742 0.1742 0.8258
Hg 0.1783 0.6495 0.8217
Hg 0.3505 0.8217 0.6495
Hg 0.6495 0.1783 0.3505
Hg 0.8217 0.3505 0.1783
Hg 0.8258 0.8258 0.1742

Magnetic moment: 0.00 μB/f.u.
Energy of formation from the pure elements: -0.9 eV/f.u.

---

# RbTl2B

An optimized crystal structure of RbTl2B (PBE-GGA, Alexandria via LeMat-Bulk).

Lattice parameters (Å, degrees): 7.3890 7.3890 7.3890 119.70 119.70 90.52
Atoms (fractional coordinates):
Rb 0.0000 0.0000 0.0000
Rb 0.7500 0.2500 0.5000
Tl 0.3743 0.1250 0.7493
Tl 0.3750 0.6257 0.7507
Tl 0.3757 0.6250 0.2507
Tl 0.8750 0.6243 0.2493
B 0.2500 0.7500 0.5000
B 0.5000 0.5000 0.0000

Energy above the lowest structure with this stoichiometry: 0 meV per atom
Magnetic moment: 0.00 μB/f.u.
Energy of formation from the pure elements: 2.3 eV/f.u.

---

# RbSCl2

An optimized crystal structure of RbSCl2 (PBE-GGA, Alexandria via LeMat-Bulk).

Lattice parameters (Å, degrees): 9.2120 9.2120 9.2120 29.92 29.92 29.92
Atoms (fractional coordinates):
Rb 0.0000 0.0000 0.0000
S 0.5000 0.5000 0.5000
Cl 0.1121 0.1121 0.1121
Cl 0.8879 0.8879 0.8879

Formation energy from raw total energies: -0.036 eV/atom
Energy above the lowest structure with this stoichiometry: 643 meV per atom
Magnetic moment: 3.00 μB/f.u.

---

# NaTe2Rh

An optimized crystal structure of NaTe2Rh (PBE-GGA, Alexandria via LeMat-Bulk).

Lattice parameters (Å, degrees): 6.7286 6.7286 6.7286 102.37 102.37 124.86
Atoms (fractional coordinates):
Na 0.0000 0.0000 0.0000
Na 0.7500 0.2500 0.5000
Te 0.2258 0.1250 0.6008
Te 0.3750 0.7742 0.8992
Te 0.5242 0.6250 0.3992
Te 0.8750 0.4758 0.1008
Rh 0.2500 0.7500 0.5000
Rh 0.5000 0.5000 0.0000

Formation energy from raw total energies: -0.358 eV/atom
Magnetic moment: 0.00 μB/f.u.

---

# GaSb3Pb4O13

An optimized crystal structure of GaSb3Pb4O13 (PBE-GGA, Alexandria via LeMat-Bulk).

Lattice parameters (Å, degrees): 7.4679 7.4679 7.4679 60.66 60.66 60.66
Atoms (fractional coordinates):
Ga 0.0000 0.0000 0.0000
Sb 0.0006 0.0006 0.5018
Sb 0.0006 0.5018 0.0006
Sb 0.5018 0.0006 0.0006
Pb 0.0055 0.4995 0.4995
Pb 0.4988 0.4988 0.4988
Pb 0.4995 0.0055 0.4995
Pb 0.4995 0.4995 0.0055
O 0.0720 0.0720 0.6770
O 0.0720 0.6770 0.0720
O 0.0737 0.6802 0.6802
O 0.3238 0.3238 0.9262
O 0.3238 0.9262 0.3238
O 0.3277 0.9275 0.9275
O 0.6248 0.6248 0.6248
O 0.6770 0.0720 0.0720
O 0.6802 0.0737 0.6802
O 0.6802 0.6802 0.0737
O 0.9262 0.3238 0.3238
O 0.9275 0.3277 0.9275
O 0.9275 0.9275 0.3277

Formation energy from raw total energies: -1.419 eV/atom
Magnetic moment: 0.00 μB/f.u.

---

# Na2DyReO6

An optimized crystal structure of Na2DyReO6 (PBE-GGA, Alexandria via LeMat-Bulk).

Lattice parameters (Å, degrees): 5.6298 5.7623 9.8069 90.00 124.79 90.00
Atoms (fractional coordinates):
Na 0.2425 0.0365 0.2511
Na 0.2425 0.4635 0.7511
Na 0.7575 0.5365 0.2489
Na 0.7575 0.9635 0.7489
Dy 0.5000 0.0000 0.0000
Dy 0.5000 0.5000 0.5000
Re 0.0000 0.0000 0.5000
Re 0.0000 0.5000 0.0000
O 0.1320 0.2289 0.9512
O 0.1320 0.2711 0.4512
O 0.2297 0.6857 0.9576
O 0.2297 0.8143 0.4576
O 0.3142 0.0263 0.7272
O 0.3142 0.4737 0.2272
O 0.6858 0.5263 0.7728
O 0.6858 0.9737 0.2728
O 0.7703 0.1857 0.5424
O 0.7703 0.3143 0.0424
O 0.8680 0.7289 0.5488
O 0.8680 0.7711 0.0488

Formation energy from raw total energies: -2.183 eV/atom
Magnetic moment: 0.00 μB/f.u.

---

# Tb3B2TeRh9

An optimized crystal structure of Tb3B2TeRh9 (PBE-GGA, Alexandria via LeMat-Bulk).

Lattice parameters (Å, degrees): 5.8901 5.8901 8.7190 90.00 90.00 120.00
Atoms (fractional coordinates):
Tb 0.0000 0.0000 0.0000
Tb 0.3333 0.6667 0.7027
Tb 0.6667 0.3333 0.2973
B 0.3333 0.6667 0.1463
B 0.6667 0.3333 0.8537
Te 0.0000 0.0000 0.5000
Rh 0.0000 0.5000 0.0000
Rh 0.1625 0.3250 0.2705
Rh 0.1625 0.8375 0.2705
Rh 0.3250 0.1625 0.7295
Rh 0.5000 0.0000 0.0000
Rh 0.5000 0.5000 0.0000
Rh 0.6750 0.8375 0.2705
Rh 0.8375 0.1625 0.7295
Rh 0.8375 0.6750 0.7295

Formation energy from raw total energies: -0.627 eV/atom
Magnetic moment: 0.00 μB/f.u.

---

# GaPtIO2

An optimized crystal structure of GaPtIO2 (PBE-GGA, Alexandria via LeMat-Bulk).

Lattice parameters (Å, degrees): 4.0785 4.0785 5.7864 90.00 90.00 90.00
Atoms (fractional coordinates):
Ga 0.0000 0.0000 0.0000
Pt 0.5000 0.5000 0.5000
I 0.5000 0.5000 0.0000
O 0.0000 0.5000 0.5000
O 0.5000 0.0000 0.5000

Formation energy from raw total energies: 0.104 eV/atom
Energy above the lowest structure with this stoichiometry: 292 meV per atom
Magnetic moment: 1.42 μB/f.u.

---

# RbNa2CuSi

An optimized crystal structure of RbNa2CuSi (PBE-GGA, Alexandria via LeMat-Bulk).

Lattice parameters (Å, degrees): 5.7279 5.7279 4.5894 90.00 90.00 90.00
Atoms (fractional coordinates):
Rb 0.0000 0.0000 0.0000
Na 0.0000 0.5000 0.5000
Na 0.5000 0.0000 0.5000
Cu 0.5000 0.5000 0.0000
Si 0.5000 0.5000 0.5000

Formation energy from raw total energies: 0.124 eV/atom
Energy above the lowest structure with this stoichiometry: 0 meV per atom
Magnetic moment: 0.00 μB/f.u.

---

# LaTcPd2I

An optimized crystal structure of LaTcPd2I (PBE-GGA, Alexandria via LeMat-Bulk).

Lattice parameters (Å, degrees): 5.1054 5.1054 5.9952 90.00 90.00 90.00
Atoms (fractional coordinates):
La 0.0000 0.0000 0.0000
Tc 0.5000 0.5000 0.5000
Pd 0.0000 0.5000 0.0000
Pd 0.5000 0.0000 0.0000
I 0.0000 0.0000 0.5000

Formation energy from raw total energies: 1.278 eV/atom
Energy above the lowest structure with this stoichiometry: 249 meV per atom
Magnetic moment: 0.24 μB/f.u.

---

# Na2SrPdF

An optimized crystal structure of Na2SrPdF (PBE-GGA, Alexandria via LeMat-Bulk).

Lattice parameters (Å, degrees): 4.5589 4.5589 5.3101 90.00 90.00 90.00
Atoms (fractional coordinates):
Na 0.0000 0.5000 0.0000
Na 0.5000 0.0000 0.0000
Sr 0.0000 0.0000 0.5000
Pd 0.5000 0.5000 0.5000
F 0.0000 0.0000 0.0000

Formation energy from raw total energies: -1.198 eV/atom
Magnetic moment: 0.00 μB/f.u.

---

# RuAuCl2

An optimized crystal structure of RuAuCl2 (PBE-GGA, Alexandria via LeMat-Bulk).

Lattice parameters (Å, degrees): 5.1643 5.1643 3.0869 90.32 90.32 105.82
Atoms (fractional coordinates):
Ru 0.0000 0.0000 0.0000
Au 0.5000 0.5000 0.0000
Cl 0.0000 0.5000 0.0000
Cl 0.5000 0.0000 0.0000

Formation energy from raw total energies: 0.548 eV/atom
Energy above the lowest structure with this stoichiometry: 503 meV per atom
Magnetic moment: 1.99 μB/f.u.

---

# K2SrSnTe4

An optimized crystal structure of K2SrSnTe4 (PBE-GGA, Alexandria via LeMat-Bulk).

Lattice parameters (Å, degrees): 9.5260 9.5260 9.5260 123.40 116.75 89.96
Atoms (fractional coordinates):
K 0.0000 0.0000 0.0000
K 0.5000 0.0000 0.0000
K 0.5000 0.0000 0.5000
K 0.5000 0.5000 0.5000
Sr 0.0000 0.5000 0.5000
Sr 0.5000 0.5000 0.0000
Sn 0.0000 0.0000 0.5000
Sn 0.0000 0.5000 0.0000
Te 0.2086 0.7469 0.4617
Te 0.2147 0.2531 0.9617
Te 0.2237 0.2320 0.5083
Te 0.2237 0.7154 0.9917
Te 0.7763 0.2846 0.0083
Te 0.7763 0.7680 0.4917
Te 0.7853 0.7469 0.0383
Te 0.7914 0.2531 0.5383

Formation energy from raw total energies: -0.838 eV/atom
Magnetic moment: 0.00 μB/f.u.

---

# CuGe2PtSe6

An optimized crystal structure of CuGe2PtSe6 (PBE-GGA, Alexandria via LeMat-Bulk).

Lattice parameters (Å, degrees): 8.5753 8.5753 6.5896 97.94 97.94 84.12
Atoms (fractional coordinates):
Cu 0.2450 0.7550 0.7500
Cu 0.7550 0.2450 0.2500
Ge 0.0998 0.2787 0.7926
Ge 0.2787 0.0998 0.2926
Ge 0.7213 0.9002 0.7074
Ge 0.9002 0.7213 0.2074
Pt 0.4079 0.5921 0.2500
Pt 0.5921 0.4079 0.7500
Se 0.0317 0.2122 0.1150
Se 0.1471 0.6152 0.4029
Se 0.2122 0.0317 0.6150
Se 0.3179 0.4786 0.8786
Se 0.3848 0.8529 0.0971
Se 0.4786 0.3179 0.3786
Se 0.5214 0.6821 0.6214
Se 0.6152 0.1471 0.9029
Se 0.6821 0.5214 0.1214
Se 0.7878 0.9683 0.3850
Se 0.8529 0.3848 0.5971
Se 0.9683 0.7878 0.8850

Formation energy from raw total energies: -0.168 eV/atom
Magnetic moment: 0.00 μB/f.u.

---

# Ta2AgPb

An optimized crystal structure of Ta2AgPb (PBE-GGA, Alexandria via LeMat-Bulk).

Lattice parameters (Å, degrees): 4.1141 4.1141 4.5730 90.00 90.00 90.00
Atoms (fractional coordinates):
Ta 0.0000 0.5000 0.0000
Ta 0.5000 0.0000 0.0000
Ag 0.0000 0.0000 0.5000
Pb 0.5000 0.5000 0.5000

Magnetic moment: 0.00 μB/f.u.
Energy of formation from the pure elements: 1.7 eV/f.u.